Record 1
# PBE CaPr3Os, optimized geometry
data_CaPr3Os
_chemical_formula_sum 'Ca1 Pr3 Os1'
_cell_length_a 5.6934
_cell_length_b 5.6934
_cell_length_c 5.6934
_cell_angle_alpha 90.00
_cell_angle_beta 90.00
_cell_angle_gamma 90.00
_space_group_name_H-M_alt 'P m -3 m'
_space_group_IT_number 221
_space_group_name_Hall '-P 4 2 3'
loop_
_atom_site_label
_atom_site_type_symbol
_atom_site_fract_x
_atom_site_fract_y
_atom_site_fract_z
_atom_site_occupancy
Ca1 Ca 0.0000 0.0000 0.0000 1
Pr1 Pr 0.0000 0.5000 0.5000 1
Os1 Os 0.5000 0.5000 0.5000 1
# * relative energy among the computed polymorphs: 0.014 eV per atom
# * DFT total energy: -5.478 eV per atom
# * crystal system: cubic
# * formation enthalpy at 0 K: 36 meV/atom

---

Record 2
# PBE CaPr3Os, optimized geometry
data_CaPr3Os
_chemical_formula_sum 'Ca2 Pr6 Os2'
_cell_length_a 6.4347
_cell_length_b 6.8611
_cell_length_c 8.5537
_cell_angle_alpha 108.26
_cell_angle_beta 90.23
_cell_angle_gamma 101.77
_space_group_name_H-M_alt 'P -1'
_space_group_IT_number 2
loop_
_space_group_symop_operation_xyz
'x,y,z'
'-x,-y,-z'
loop_
_atom_site_label
_atom_site_type_symbol
_atom_site_fract_x
_atom_site_fract_y
_atom_site_fract_z
_atom_site_occupancy
Ca1 Ca 0.0888 0.2484 0.1879 1
Pr1 Pr 0.0834 0.2465 0.6833 1
Pr2 Pr 0.4044 0.7510 0.5644 1
Pr3 Pr 0.4050 0.7455 0.0598 1
Os1 Os 0.4872 0.4913 0.7470 1
# * relative energy among the computed polymorphs: 0.000 eV per atom
# * DFT total energy: -5.492 eV per atom
# * crystal system: triclinic
# * formation enthalpy at 0 K: 22 meV/atom

---

Record 3
# PBE Ca2Pr5Os2, optimized geometry
data_Ca2Pr5Os2
_chemical_formula_sum 'Ca8 Pr20 Os8'
_cell_length_a 19.4324
_cell_length_b 7.9454
_cell_length_c 7.9734
_cell_angle_alpha 90.00
_cell_angle_beta 90.00
_cell_angle_gamma 90.00
_space_group_name_H-M_alt 'C m c e'
_space_group_IT_number 64
_space_group_name_Hall '-C 2ac 2'
loop_
_atom_site_label
_atom_site_type_symbol
_atom_site_fract_x
_atom_site_fract_y
_atom_site_fract_z
_atom_site_occupancy
Ca1 Ca 0.2286 0.0000 0.0000 1
Pr1 Pr 0.0000 0.0000 0.0000 1
Pr2 Pr 0.0955 0.1625 0.3372 1
Os1 Os 0.0000 0.1389 0.6389 1
# * DFT total energy: -5.587 eV per atom
# * crystal system: orthorhombic
# * formation enthalpy at 0 K: 9 meV/atom

---

Record 4
# PBE CaOs2Pt, optimized geometry
data_CaOs2Pt
_chemical_formula_sum 'Ca1 Os2 Pt1'
_cell_length_a 2.6940
_cell_length_b 4.2953
_cell_length_c 6.0977
_cell_angle_alpha 90.00
_cell_angle_beta 90.00
_cell_angle_gamma 90.00
_space_group_name_H-M_alt 'P m m m'
_space_group_IT_number 47
loop_
_space_group_symop_operation_xyz
'x,y,z'
'-x,-y,-z'
'-x,-y,z'
'x,y,-z'
'x,-y,-z'
'-x,y,z'
'-x,y,-z'
'x,-y,z'
loop_
_atom_site_label
_atom_site_type_symbol
_atom_site_fract_x
_atom_site_fract_y
_atom_site_fract_z
_atom_site_occupancy
Ca1 Ca 0.0000 0.0000 0.0000 1
Os1 Os 0.5000 0.5000 0.2999 1
Pt1 Pt 0.0000 0.0000 0.5000 1
# * relative energy among the computed polymorphs: 0.391 eV per atom
# * DFT total energy: -7.162 eV per atom
# * crystal system: orthorhombic
# * formation enthalpy at 0 K: 463 meV/atom

---

Record 5
# PBE CaOs3Pt, optimized geometry
data_CaOs3Pt
_chemical_formula_sum 'Ca1 Os3 Pt1'
_cell_length_a 4.5679
_cell_length_b 4.5679
_cell_length_c 4.5679
_cell_angle_alpha 90.00
_cell_angle_beta 90.00
_cell_angle_gamma 90.00
_space_group_name_H-M_alt 'P m -3 m'
_space_group_IT_number 221
_space_group_name_Hall '-P 4 2 3'
loop_
_atom_site_label
_atom_site_type_symbol
_atom_site_fract_x
_atom_site_fract_y
_atom_site_fract_z
_atom_site_occupancy
Ca1 Ca 0.0000 0.0000 0.0000 1
Os1 Os 0.0000 0.0000 0.5000 1
Pt1 Pt 0.5000 0.5000 0.5000 1
# * relative energy among the computed polymorphs: 1.320 eV per atom
# * DFT total energy: -5.142 eV per atom
# * crystal system: cubic
# * formation enthalpy at 0 K: 3205 meV/atom

---

Record 6
# PBE CaOs2Pt, optimized geometry
data_CaOs2Pt
_chemical_formula_sum 'Ca2 Os4 Pt2'
_cell_length_a 4.1496
_cell_length_b 4.1496
_cell_length_c 7.6784
_cell_angle_alpha 90.00
_cell_angle_beta 90.00
_cell_angle_gamma 90.00
_space_group_name_H-M_alt 'I -4 m 2'
_space_group_IT_number 119
_space_group_name_Hall 'I -4 -2'
loop_
_atom_site_label
_atom_site_type_symbol
_atom_site_fract_x
_atom_site_fract_y
_atom_site_fract_z
_atom_site_occupancy
Ca1 Ca 0.0000 0.0000 0.0000 1
Os1 Os 0.0000 0.0000 0.5000 1
Os2 Os 0.0000 0.5000 0.7500 1
Pt1 Pt 0.0000 0.5000 0.2500 1
# * relative energy among the computed polymorphs: 0.335 eV per atom
# * DFT total energy: -7.218 eV per atom
# * crystal system: tetragonal
# * formation enthalpy at 0 K: 408 meV/atom

---

Record 7
# PBE CaOs2Pt, optimized geometry
data_CaOs2Pt
_chemical_formula_sum 'Ca1 Os2 Pt1'
_cell_length_a 3.2179
_cell_length_b 3.2179
_cell_length_c 6.9809
_cell_angle_alpha 90.00
_cell_angle_beta 90.00
_cell_angle_gamma 90.00
_space_group_name_H-M_alt 'P 4/m m m'
_space_group_IT_number 123
_space_group_name_Hall '-P 4 2'
loop_
_atom_site_label
_atom_site_type_symbol
_atom_site_fract_x
_atom_site_fract_y
_atom_site_fract_z
_atom_site_occupancy
Ca1 Ca 0.0000 0.0000 0.0000 1
Os1 Os 0.5000 0.5000 0.3039 1
Pt1 Pt 0.0000 0.0000 0.5000 1
# * relative energy among the computed polymorphs: 0.563 eV per atom
# * DFT total energy: -6.991 eV per atom
# * crystal system: tetragonal
# * formation enthalpy at 0 K: 635 meV/atom

---

Record 8
# PBE CaOs2Pt, optimized geometry
data_CaOs2Pt
_chemical_formula_sum 'Ca4 Os8 Pt4'
_cell_length_a 7.9149
_cell_length_b 7.9149
_cell_length_c 4.9930
_cell_angle_alpha 90.00
_cell_angle_beta 90.00
_cell_angle_gamma 90.00
_space_group_name_H-M_alt 'I -4 2 d'
_space_group_IT_number 122
_space_group_name_Hall 'I -4 2bw'
loop_
_atom_site_label
_atom_site_type_symbol
_atom_site_fract_x
_atom_site_fract_y
_atom_site_fract_z
_atom_site_occupancy
Ca1 Ca 0.0000 0.0000 0.0000 1
Os1 Os 0.1937 0.2500 0.6250 1
Pt1 Pt 0.0000 0.0000 0.5000 1
# * relative energy among the computed polymorphs: 0.647 eV per atom
# * DFT total energy: -6.906 eV per atom
# * crystal system: tetragonal
# * formation enthalpy at 0 K: 719 meV/atom

---

Record 9
# PBE CaOs2Pt, optimized geometry
data_CaOs2Pt
_chemical_formula_sum 'Ca1 Os2 Pt1'
_cell_length_a 2.7835
_cell_length_b 4.3906
_cell_length_c 5.7288
_cell_angle_alpha 90.00
_cell_angle_beta 103.68
_cell_angle_gamma 90.00
_space_group_name_H-M_alt 'P 1 m 1'
_space_group_IT_number 6
loop_
_space_group_symop_operation_xyz
'x,y,z'
'x,-y,z'
loop_
_atom_site_label
_atom_site_type_symbol
_atom_site_fract_x
_atom_site_fract_y
_atom_site_fract_z
_atom_site_occupancy
Ca1 Ca 0.0000 0.0000 0.0000 1
Os1 Os 0.2589 0.0000 0.4944 1
Os2 Os 0.6867 0.5000 0.3592 1
Pt1 Pt 0.3992 0.5000 0.7918 1
# * relative energy among the computed polymorphs: 0.078 eV per atom
# * DFT total energy: -7.475 eV per atom
# * crystal system: monoclinic
# * formation enthalpy at 0 K: 150 meV/atom

---

Record 10
# PBE CaOs2Pt, optimized geometry
data_CaOs2Pt
_chemical_formula_sum 'Ca1 Os2 Pt1'
_cell_length_a 2.8763
_cell_length_b 2.8763
_cell_length_c 8.2463
_cell_angle_alpha 90.00
_cell_angle_beta 90.00
_cell_angle_gamma 90.00
_space_group_name_H-M_alt 'P 4 m m'
_space_group_IT_number 99
loop_
_space_group_symop_operation_xyz
'x,y,z'
'-y,x,z'
'-x,-y,z'
'y,-x,z'
'-x,y,z'
'y,x,z'
'x,-y,z'
'-y,-x,z'
loop_
_atom_site_label
_atom_site_type_symbol
_atom_site_fract_x
_atom_site_fract_y
_atom_site_fract_z
_atom_site_occupancy
Ca1 Ca 0.0000 0.0000 0.0000 1
Os1 Os 0.0000 0.0000 0.4849 1
Os2 Os 0.5000 0.5000 0.2891 1
Pt1 Pt 0.5000 0.5000 0.7212 1
# * relative energy among the computed polymorphs: 0.000 eV per atom
# * DFT total energy: -7.553 eV per atom
# * crystal system: tetragonal
# * formation enthalpy at 0 K: 72 meV/atom

---

Record 11
# PBE CaOs2Pt, optimized geometry
data_CaOs2Pt
_chemical_formula_sum 'Ca1 Os2 Pt1'
_cell_length_a 2.8214
_cell_length_b 3.8610
_cell_length_c 6.4869
_cell_angle_alpha 90.00
_cell_angle_beta 90.00
_cell_angle_gamma 90.00
_space_group_name_H-M_alt 'P m m 2'
_space_group_IT_number 25
loop_
_space_group_symop_operation_xyz
'x,y,z'
'-x,-y,z'
'-x,y,z'
'x,-y,z'
loop_
_atom_site_label
_atom_site_type_symbol
_atom_site_fract_x
_atom_site_fract_y
_atom_site_fract_z
_atom_site_occupancy
Ca1 Ca 0.0000 0.0000 0.0000 1
Os1 Os 0.0000 0.0000 0.4811 1
Os2 Os 0.5000 0.5000 0.3237 1
Pt1 Pt 0.5000 0.5000 0.7356 1
# * relative energy among the computed polymorphs: 0.053 eV per atom
# * DFT total energy: -7.501 eV per atom
# * crystal system: orthorhombic
# * formation enthalpy at 0 K: 125 meV/atom

---

Record 12
# PBE CaOs2Pt, optimized geometry
data_CaOs2Pt
_chemical_formula_sum 'Ca1 Os2 Pt1'
_cell_length_a 2.8234
_cell_length_b 4.9738
_cell_length_c 4.8516
_cell_angle_alpha 90.00
_cell_angle_beta 93.46
_cell_angle_gamma 90.00
_space_group_name_H-M_alt 'P 1 2/m 1'
_space_group_IT_number 10
loop_
_space_group_symop_operation_xyz
'x,y,z'
'-x,-y,-z'
'-x,y,-z'
'x,-y,z'
loop_
_atom_site_label
_atom_site_type_symbol
_atom_site_fract_x
_atom_site_fract_y
_atom_site_fract_z
_atom_site_occupancy
Ca1 Ca 0.0000 0.0000 0.0000 1
Os1 Os 0.3420 0.5000 0.7477 1
Pt1 Pt 0.5000 0.0000 0.5000 1
# * relative energy among the computed polymorphs: 0.285 eV per atom
# * DFT total energy: -7.268 eV per atom
# * crystal system: monoclinic
# * formation enthalpy at 0 K: 357 meV/atom